Material: LiZrTe2N
Method: DFT, PBE
State: relaxed

a b c (Å): 5.912 5.912 3.973
angles (deg): 90.00 90.00 90.00
Element x y z (fractional)
N 0.000 0.000 0.500
Li 0.500 0.500 0.500
Te 0.000 0.500 0.000
Te 0.500 0.000 0.000
Zr 0.000 0.000 0.000

- Theoretical density: 4.4 Mg/m³
- Offset from the most stable computed form: 0.000 eV/f.u.
- Magnetic moment: 0.0000 μB per atom



Material: LiWSe
Method: DFT, PBE
State: relaxed

a b c (Å): 4.198 4.198 4.198
angles (deg): 60.00 60.00 60.00
Element x y z (fractional)
W 0.250 0.250 0.250
Se 0.500 0.500 0.500
Li 0.000 0.000 0.000

- Theoretical density: 8.6 Mg/m³
- Offset from the most stable computed form: 2.160 eV/f.u.
- Magnetic moment: 0.2213 μB per atom



Material: Ba2BeGa
Method: DFT, PBE
State: relaxed

a b c (Å): 5.708 5.708 5.708
angles (deg): 60.00 60.00 60.00
Element x y z (fractional)
Ba 0.750 0.750 0.750
Ba 0.250 0.250 0.250
Ga 0.500 0.500 0.500
Be 0.000 0.000 0.000

- DFT formation energy: 15.6 kJ per mole of atoms
- Theoretical density: 4.5 Mg/m³
- Offset from the most stable computed form: 0.000 eV/f.u.
- Magnetic moment: 0.0000 μB per atom